Computed, not measured: Sc8FeAg2 after structural relaxation at the PBE level of DFT.

As for the density of states at the Fermi level: 0.7557 states/eV/atom. The space group is No. 12. The calculation puts the energy of formation at -1.6 eV/f.u. The value obtained for the total magnetic moment is 0.0 Bohr magnetons per cell.

Cell: 4.896 6.397 8.294 Å, 108.83 107.17 90.00°
Element x y z (fractional)
Sc  0.593  0.420  0.187
Sc  0.345  0.046  0.689
Sc  0.195  0.283  0.390
Sc  0.024  0.795  0.048
Sc  0.805  0.717  0.610
Sc  0.655  0.954  0.311
Sc  0.407  0.580  0.813
Sc  0.976  0.205  0.952
Fe  0.500  0.000  0.000
Ag  0.182  0.699  0.364
Ag  0.818  0.301  0.636